# 1
Entry from Alexandria via LeMat-Bulk: crystalline K2CaIn at its relaxed geometry (PBE).

Cell lengths 6.0858, 7.6251, 4.0597 Å; angles 76.59, 85.08, 112.10 degrees
Closest atoms and distances in Å follow each position.
Element x y z (fractional)
1 K 0.0000 0.0000 0.0000  4 K 3.51-3.80, 2 Ca 3.88, 2 In 3.88
2 Ca 0.0000 0.5000 0.5000  4 In 3.51-3.80, 4 K 3.88
3 In 0.5000 0.5000 0.0000  4 Ca 3.51-3.80, 4 K 3.88
4 K 0.5000 0.0000 0.5000  4 K 3.51-3.80, 2 In 3.88, 2 Ca 3.88

Output
The energy comes out at -1.637 eV per atom. For the volume, the calculation gives 41.66 Å³/atom.

***

# 2
Entry from Alexandria via LeMat-Bulk: crystalline K2CaIn at its relaxed geometry (PBE).

Cell lengths 10.7259, 10.7259, 8.2908 Å; angles 49.69, 49.69, 90.00 degrees
Closest atoms and distances in Å follow each position.
Element x y z (fractional)
1 Ca 0.5000 0.5000 0.0000  2 In 3.35
2 K 0.8750 0.9331 0.7500  2 In 3.48, 2 K 3.57
3 In 0.7500 0.2500 0.5000  2 Ca 3.35, 4 K 3.48
4 K 0.6831 0.1250 0.2500  2 In 3.48, 2 K 3.57
5 In 0.0000 0.0000 0.0000  2 Ca 3.35, 4 K 3.48
6 Ca 0.2500 0.7500 0.5000  2 In 3.35
7 K 0.0669 0.6250 0.2500  2 In 3.48, 2 K 3.57
8 K 0.3750 0.3169 0.7500  2 In 3.48, 2 K 3.57

Output
The energy comes out at -1.574 eV per atom. For the volume, the calculation gives 48.16 Å³/atom.

***

# 3
Entry from Alexandria via LeMat-Bulk: crystalline KCa2In at its relaxed geometry (PBE).

Cell lengths 5.7305, 5.7305, 4.4086 Å; angles 90.00, 90.00, 90.00 degrees
Closest atoms and distances in Å follow each position.
Element x y z (fractional)
1 Ca 0.5000 0.5000 0.0000  4 In 3.62, 4 K 3.62
2 K 0.0000 0.5000 0.5000  8 Ca 3.62
3 In 0.5000 0.0000 0.5000  8 Ca 3.62
4 Ca 0.0000 0.0000 0.0000  4 K 3.62, 4 In 3.62

Output
The energy comes out at -1.950 eV per atom. For the volume, the calculation gives 36.19 Å³/atom.

***

# 4
Entry from Alexandria via LeMat-Bulk: crystalline K2CaIn at its relaxed geometry (PBE).

Cell lengths 10.4401, 10.4401, 10.4401 Å; angles 158.09, 151.17, 36.50 degrees
Closest atoms and distances in Å follow each position.
Element x y z (fractional)
1 In 0.7500 0.2500 0.5000  4 Ca 3.27
2 K 0.9101 0.9101 0.0000  2 In 3.74, 2 K 3.97, 2 Ca 4.10
3 Ca 0.2500 0.7500 0.5000  4 In 3.27
4 K 0.5899 0.5899 0.0000  2 In 3.74, 2 K 3.97, 2 Ca 4.10

Output
The energy comes out at -1.774 eV per atom. For the volume, the calculation gives 51.11 Å³/atom.

***

# 5
Entry from Alexandria via LeMat-Bulk: crystalline K2CaIn at its relaxed geometry (PBE).

Cell lengths 4.1303, 5.9169, 7.2052 Å; angles 90.00, 90.00, 90.00 degrees
Closest atoms and distances in Å follow each position.
Element x y z (fractional)
1 K 0.0000 0.0000 0.9793  1 K 3.30
2 K 0.0000 0.0000 0.5207  1 K 3.30
3 Ca 0.5000 0.5000 0.2500  2 In 3.60
4 In 0.5000 0.5000 0.7500  2 Ca 3.60, 8 K 3.97

Output
The energy comes out at -1.613 eV per atom. For the volume, the calculation gives 44.02 Å³/atom.

***

# 6
Entry from Alexandria via LeMat-Bulk: crystalline K2CaIn at its relaxed geometry (PBE).

Cell lengths 7.3234, 7.3234, 7.3234 Å; angles 139.33, 139.33, 58.87 degrees
Closest atoms and distances in Å follow each position.
Element x y z (fractional)
1 In 0.7500 0.2500 0.5000  4 Ca 3.60
2 K 0.5000 0.5000 0.0000  4 K 3.60
3 Ca 0.2500 0.7500 0.5000  4 In 3.60
4 K 0.0000 0.0000 0.0000  4 K 3.60

Output
The energy comes out at -1.677 eV per atom. For the volume, the calculation gives 41.31 Å³/atom.

***

# 7
Entry from Alexandria via LeMat-Bulk: crystalline KCaIn6 at its relaxed geometry (PBE).

Cell lengths 5.0102, 6.8962, 6.8153 Å; angles 90.00, 90.00, 90.00 degrees
Closest atoms and distances in Å follow each position.
Element x y z (fractional)
1 In 0.0000 0.1456 0.7316  6 In 3.16-3.26, 2 Ca 3.42
2 In 0.5000 0.8609 0.7515  7 In 3.16-3.43, 2 K 3.50
3 In 0.0000 0.7325 0.5000  6 In 3.16-3.26, 2 Ca 3.42, 2 K 3.52
4 Ca 0.5000 0.3941 0.5000  10 In 3.42-3.65
5 K 0.0000 0.6058 0.0000  10 In 3.48-3.66
6 In 0.5000 0.8609 0.2485  7 In 3.16-3.43, 2 K 3.50
7 In 0.5000 0.2545 0.0000  6 In 3.19-3.20, 2 K 3.48, 2 Ca 3.54
8 In 0.0000 0.1456 0.2684  6 In 3.16-3.26, 2 Ca 3.42

Output
The energy comes out at -2.606 eV per atom. For the volume, the calculation gives 29.44 Å³/atom.

***

# 8
Entry from Alexandria via LeMat-Bulk: crystalline KCa2In at its relaxed geometry (PBE).

Cell lengths 6.1807, 6.1807, 6.1807 Å; angles 126.84, 126.84, 78.51 degrees
Closest atoms and distances in Å follow each position.
Element x y z (fractional)
1 K 0.7500 0.2500 0.5000  4 In 3.66, 8 Ca 3.66-3.91
2 Ca 0.0000 0.0000 0.0000  4 K 3.66, 4 Ca 3.66, 4 In 3.91
3 In 0.5000 0.5000 0.0000  8 Ca 3.66-3.91, 4 K 3.66
4 Ca 0.2500 0.7500 0.5000  4 Ca 3.66, 4 In 3.66, 4 K 3.91

Output
The energy comes out at -1.944 eV per atom. For the volume, the calculation gives 36.60 Å³/atom.

***

# 9
Entry from Alexandria via LeMat-Bulk: crystalline K2CaIn at its relaxed geometry (PBE).

Cell lengths 7.1341, 7.1341, 3.9966 Å; angles 90.00, 90.00, 119.82 degrees
Closest atoms and distances in Å follow each position.
Element x y z (fractional)
1 K 0.0000 0.0000 0.0000  4 K 3.58-4.00
2 In 0.0000 0.5000 0.5000  2 Ca 3.58, 2 In 4.00
3 Ca 0.5000 0.0000 0.5000  2 In 3.58, 2 Ca 4.00
4 K 0.5000 0.5000 0.0000  4 K 3.58-4.00

Output
The energy comes out at -1.608 eV per atom. For the volume, the calculation gives 44.12 Å³/atom.

***

# 10
Entry from Alexandria via LeMat-Bulk: crystalline KCaIn at its relaxed geometry (PBE).

Cell lengths 5.7262, 5.7262, 5.7262 Å; angles 60.00, 60.00, 60.00 degrees
Closest atoms and distances in Å follow each position.
Element x y z (fractional)
1 Ca 0.5000 0.5000 0.5000  4 In 3.51
2 K 0.0000 0.0000 0.0000  4 In 3.51
3 In 0.7500 0.7500 0.7500  4 Ca 3.51, 4 K 3.51

Output
The energy above the most stable polymorph in this dataset is 0.266 eV/atom. The energy comes out at -1.848 eV per atom. For the volume, the calculation gives 44.25 Å³/atom.

***

# 11
Entry from Alexandria via LeMat-Bulk: crystalline K2CaIn at its relaxed geometry (PBE).

Cell lengths 13.5106, 13.5106, 13.5106 Å; angles 16.86, 16.86, 16.86 degrees
Closest atoms and distances in Å follow each position.
Element x y z (fractional)
1 In 0.7500 0.7500 0.7500  6 K 3.73, 6 In 3.96
2 Ca 0.2500 0.2500 0.2500  6 Ca 3.96, 6 K 4.36
3 K 0.4903 0.4903 0.4903  3 In 3.73, 6 K 3.96
4 K 0.0097 0.0097 0.0097  3 In 3.73, 6 K 3.96

Output
The energy comes out at -1.595 eV per atom. For the volume, the calculation gives 45.25 Å³/atom.

***

# 12
Entry from Alexandria via LeMat-Bulk: crystalline KCa2In at its relaxed geometry (PBE).

Cell lengths 4.2060, 4.1995, 9.4136 Å; angles 90.00, 90.00, 90.00 degrees
Closest atoms and distances in Å follow each position.
Element x y z (fractional)
1 In 0.0000 0.0000 0.4381  5 Ca 3.23-3.62
2 Ca 0.0000 0.0000 0.0533  1 In 3.62, 4 Ca 3.79
3 K 0.5000 0.5000 0.7061  1 Ca 3.80, 4 In 3.90, 4 K 4.20-4.21
4 Ca 0.5000 0.5000 0.3025  4 In 3.23

Output
The energy comes out at -2.035 eV per atom. For the volume, the calculation gives 41.57 Å³/atom.

***

no.,magnetic moment (μB per formula unit)
1,0.00
2,0.00
3,0.42
4,0.00
5,0.00
6,0.00
7,0.00
8,0.00
9,0.00
10,1.21
11,0.00
12,0.00